1.
Entry from Alexandria: a relaxed Sm2HPbO crystal (GGA-PBE).

Cell: 3.8548 3.8548 7.3263 Å, 105.25 105.25 90.00°
Last column: nearest neighbours and their distance in Å.
Sites, in units of the cell vectors:
Sm  0.6552  0.6552  0.3104  2 O 2.32, 2 H 2.32
Sm  0.3448  0.3448  0.6896  2 H 2.32, 2 O 2.32
H  0.2500  0.7500  0.5000  4 Sm 2.32
Pb  0.0000  0.0000  0.0000  8 Sm 3.45, 4 Pb 3.85
O  0.7500  0.2500  0.5000  4 Sm 2.32

- E: -29.36 eV/cell
- Total moment: 0.00 μB per cell
- Space group: I-4m2, No. 119


2.
Entry from Alexandria: a relaxed TbIn2Co crystal (GGA-PBE).

Cell: 4.4160 4.4160 5.8495 Å, 67.82 67.82 60.00°
Last column: nearest neighbours and their distance in Å.
Sites, in units of the cell vectors:
Co  0.0000  0.0000  0.0000  6 In 2.68
Tb  0.5000  0.5000  0.5000  8 In 3.13-3.45
In  0.7182  0.7182  0.8454  3 Co 2.68
In  0.2818  0.2818  0.1546  3 Co 2.68

- Formation energy: -0.425 eV/f.u.
- E: -17.64 eV/cell
- Total moment: 0.80 μB per cell
- Space group: R-3m, No. 166


3.
Entry from Alexandria: a relaxed BaTlGa2 crystal (GGA-PBE).

Cell: 5.1338 5.1338 10.6614 Å, 76.07 76.07 90.00°
Last column: nearest neighbours and their distance in Å.
Sites, in units of the cell vectors:
Tl  0.0000  0.0000  0.0000  4 Ga 2.84
Tl  0.7500  0.2500  0.5000  4 Ga 2.84
Ba  0.5000  0.5000  0.0000  4 Ga 3.56, 4 Tl 3.63
Ba  0.2500  0.7500  0.5000  4 Ga 3.56, 4 Tl 3.63
Ga  0.8001  0.1250  0.2500  2 Ga 2.68, 2 Tl 2.84
Ga  0.9499  0.6250  0.2500  2 Ga 2.68, 2 Tl 2.84
Ga  0.3750  0.1999  0.7500  2 Ga 2.68, 2 Tl 2.84
Ga  0.8750  0.0501  0.7500  2 Ga 2.68, 2 Tl 2.84

- Formation energy: -0.607 eV/f.u.
- Energy relative to the lowest polymorph listed for this composition: 0.037 eV/atom
- E: -21.90 eV/cell
- Total moment: 0.00 μB per cell
- Space group: I-42d, No. 122


4.
Entry from Alexandria: a relaxed LiCa2Ta crystal (GGA-PBE).

Cell: 11.4105 11.4105 11.4105 Å, 16.59 16.59 16.59°
Last column: nearest neighbours and their distance in Å.
Sites, in units of the cell vectors:
Ca  0.0056  0.0056  0.0056  3 Ta 3.24, 6 Ca 3.29, 3 Li 3.55
Ca  0.4944  0.4944  0.4944  3 Ta 3.24, 6 Ca 3.29, 3 Li 3.55
Li  0.2500  0.2500  0.2500  6 Li 3.29, 6 Ca 3.55
Ta  0.7500  0.7500  0.7500  6 Ca 3.24, 6 Ta 3.29

- Formation energy: 2.092 eV/f.u.
- Energy relative to the lowest polymorph listed for this composition: 0.034 eV/atom
- E: -15.68 eV/cell
- Total moment: 0.00 μB per cell
- Space group: R-3m, No. 166


Q: E of number 3 (BaTlGa2)?
A: -21.90 eV/cell


Q: Which of these has the highest E?
A: LiCa2Ta


Q: The highest E belongs to which entry?
A: LiCa2Ta


What did the first record say?
Entry from Alexandria: a relaxed Sm2HPbO crystal (GGA-PBE).

Cell: 3.8548 3.8548 7.3263 Å, 105.25 105.25 90.00°
Last column: nearest neighbours and their distance in Å.
Sites, in units of the cell vectors:
Sm  0.6552  0.6552  0.3104  2 O 2.32, 2 H 2.32
Sm  0.3448  0.3448  0.6896  2 H 2.32, 2 O 2.32
H  0.2500  0.7500  0.5000  4 Sm 2.32
Pb  0.0000  0.0000  0.0000  8 Sm 3.45, 4 Pb 3.85
O  0.7500  0.2500  0.5000  4 Sm 2.32

- E: -29.36 eV/cell
- Total moment: 0.00 μB per cell
- Space group: I-4m2, No. 119